Computed, not measured: a relaxed structure of V2GaHW at the PBE level of DFT.

Values from the calculation:
E above lowest polymorph: 5.407 eV/f.u.
space group: P4/mmm, No. 123

Cell lengths 4.6857, 4.6857, 3.1447 Å; angles 90.00, 90.00, 90.00 degrees
Closest atoms and distances in Å follow each position.
Atoms (fractional coordinates):
V 0.0000 0.5000 0.0000  2 Ga 2.34
V 0.5000 0.0000 0.0000  2 Ga 2.34
Ga 0.0000 0.0000 0.0000  2 H 1.57
H 0.0000 0.0000 0.5000  2 Ga 1.57
W 0.5000 0.5000 0.5000  8 V 2.82, 2 W 3.14


Computed, not measured: a relaxed structure of Ac2Zn3Ge4Pt at the PBE level of DFT.

Values from the calculation:
formation energy from the elements: -560 meV per atom
space group: P-4m2, No. 115

Cell lengths 4.5455, 4.5455, 10.2097 Å; angles 90.00, 90.00, 90.00 degrees
Closest atoms and distances in Å follow each position.
Atoms (fractional coordinates):
Ac 0.0000 0.5000 0.2457  2 Pt 3.38, 6 Zn 3.38-3.47, 9 Ge 3.44-3.79
Ac 0.5000 0.0000 0.7543  2 Pt 3.38, 6 Zn 3.38-3.47, 9 Ge 3.44-3.79
Zn 0.0000 0.0000 0.0000  4 Ge 2.61
Zn 0.0000 0.5000 0.6270  5 Ge 2.53-2.62
Zn 0.5000 0.0000 0.3730  5 Ge 2.53-2.62
Ge 0.0000 0.0000 0.5000  4 Zn 2.62
Ge 0.0000 0.5000 0.8747  3 Zn 2.53-2.61, 2 Pt 2.61
Ge 0.5000 0.0000 0.1253  3 Zn 2.53-2.61, 2 Pt 2.61
Ge 0.5000 0.5000 0.5000  4 Zn 2.62
Pt 0.5000 0.5000 0.0000  4 Ge 2.61


Computed, not measured: a relaxed structure of Pm3Nd2Ho2 at the PBE level of DFT.

Values from the calculation:
formation energy from the elements: 116 meV per atom
E above lowest polymorph: 0.717 eV/f.u.
space group: C2/m, No. 12

Cell lengths 9.0578, 9.0578, 8.6587 Å; angles 118.47, 118.47, 22.56 degrees
Closest atoms and distances in Å follow each position.
Atoms (fractional coordinates):
Pm 0.0000 0.0000 0.0000  4 Pm 3.38-3.54, 2 Ho 3.57, 4 Nd 3.63
Pm 0.2124 0.2124 0.2967  5 Pm 3.38-3.57, 3 Nd 3.50-3.67, 3 Ho 3.60-3.64
Pm 0.7876 0.7876 0.7033  5 Pm 3.38-3.57, 3 Nd 3.50-3.67, 3 Ho 3.60-3.64
Nd 0.4346 0.4346 0.5879  3 Nd 3.34-3.54, 5 Pm 3.50-3.67, 2 Ho 3.66
Nd 0.5654 0.5654 0.4121  3 Nd 3.34-3.54, 5 Pm 3.50-3.67, 2 Ho 3.66
Ho 0.1486 0.1486 0.8334  4 Ho 3.54-3.79, 4 Pm 3.57-3.64, 4 Nd 3.66-3.78
Ho 0.8514 0.8514 0.1666  4 Ho 3.54-3.79, 4 Pm 3.57-3.64, 4 Nd 3.66-3.78


Computed, not measured: a relaxed structure of Tm2AgS at the PBE level of DFT.

Values from the calculation:
E above lowest polymorph: 0.746 eV/f.u.
energy relative to the elements, uncorrected: -923.8 meV/atom
space group: R3m, No. 160

Cell lengths 8.0327, 8.0327, 8.0327 Å; angles 26.75, 26.75, 26.75 degrees
Closest atoms and distances in Å follow each position.
Atoms (fractional coordinates):
Tm 0.0000 0.0000 0.0000  3 S 2.79, 3 Ag 2.95
Tm 0.1565 0.1565 0.1565  3 S 2.84, 3 Ag 2.98
Ag 0.5792 0.5792 0.5792  6 Tm 2.95-2.98
S 0.4100 0.4100 0.4100  6 Tm 2.79-2.84


Computed, not measured: a relaxed structure of LaTm6Fe2 at the PBE level of DFT.

Values from the calculation:
formation energy from the elements: 52 meV per atom
space group: Immm, No. 71

Cell lengths 8.4780, 8.4780, 8.4780 Å; angles 112.12, 108.59, 107.74 degrees
Closest atoms and distances in Å follow each position.
Atoms (fractional coordinates):
La 0.0000 0.0000 0.0000  8 Tm 3.27-3.38
La 0.5000 0.0000 0.5000  12 Tm 3.42-3.65
Tm 0.0066 0.2355 0.7711  1 Fe 2.74
Tm 0.1915 0.4862 0.2947  2 Fe 2.93
Tm 0.1915 0.8968 0.7054  2 Fe 2.93
Tm 0.3046 0.2986 0.6031  3 Fe 2.72-2.93
Tm 0.3046 0.7014 0.0060  3 Fe 2.72-2.93
Tm 0.4644 0.2355 0.2289  1 Fe 2.74
Tm 0.5356 0.7645 0.7711  1 Fe 2.74
Tm 0.6954 0.2986 0.9940  3 Fe 2.72-2.93
Tm 0.6954 0.7014 0.3969  3 Fe 2.72-2.93
Tm 0.8085 0.1032 0.2947  2 Fe 2.93
Tm 0.8085 0.5138 0.7054  2 Fe 2.93
Tm 0.9934 0.7645 0.2289  1 Fe 2.74
Fe 0.1087 0.5000 0.6087  1 Fe 2.15
Fe 0.3888 0.3888 0.0000  1 Fe 2.22
Fe 0.6112 0.6112 0.0000  1 Fe 2.22
Fe 0.8913 0.5000 0.3913  1 Fe 2.15


Computed, not measured: a relaxed structure of Mg2TlBr at the PBE level of DFT.

Values from the calculation:
E above lowest polymorph: 0.224 eV/f.u.
energy relative to the elements, uncorrected: -308.9 meV/atom
space group: Cmm2, No. 35

Cell lengths 3.4171, 3.4171, 10.3124 Å; angles 90.00, 90.00, 105.74 degrees
Closest atoms and distances in Å follow each position.
Atoms (fractional coordinates):
Mg 0.0000 0.0000 0.0000  6 Mg 3.13-3.42, 2 Tl 3.23
Mg 0.5000 0.5000 0.2289  2 Br 2.64
Tl 0.5000 0.5000 0.7585  2 Mg 3.23, 4 Tl 3.42
Br 0.0000 0.0000 0.3882  2 Mg 2.64


Computed, not measured: a relaxed structure of Sb2RuF2 at the PBE level of DFT.

Values from the calculation:
E above lowest polymorph: 0.000 eV/f.u.
energy relative to the elements, uncorrected: -761.1 meV/atom
space group: I4/mmm, No. 139

Cell lengths 7.2064, 7.2064, 7.2064 Å; angles 152.59, 152.59, 39.15 degrees
Closest atoms and distances in Å follow each position.
Atoms (fractional coordinates):
Sb 0.1182 0.1182 0.0000  4 F 2.47
Sb 0.8818 0.8818 0.0000  4 F 2.47
Ru 0.5000 0.5000 0.0000  8 Sb 2.90
F 0.2500 0.7500 0.5000  4 F 2.41, 4 Sb 2.47
F 0.7500 0.2500 0.5000  4 F 2.41, 4 Sb 2.47


Computed, not measured: a relaxed structure of AcMgAlZn6 at the PBE level of DFT.

Values from the calculation:
formation energy from the elements: 207 meV per atom
space group: Imma, No. 74

Cell lengths 8.9553, 8.9553, 8.9553 Å; angles 133.96, 118.31, 80.31 degrees
Closest atoms and distances in Å follow each position.
Atoms (fractional coordinates):
Ac 0.3909 0.1409 0.2500  8 Zn 3.17-3.54
Ac 0.6091 0.8591 0.7500  8 Zn 3.17-3.54
Mg 0.0000 0.0000 0.5000  6 Zn 2.68-2.75
Mg 0.0000 0.5000 0.0000  6 Zn 2.68-2.75
Al 0.0000 0.5000 0.5000  6 Zn 2.59-2.71
Al 0.5000 0.5000 0.0000  6 Zn 2.59-2.71
Zn 0.1551 0.9051 0.2500  2 Mg 2.75
Zn 0.1730 0.4840 0.3267  3 Zn 2.52-2.69, 1 Al 2.59, 1 Mg 2.68
Zn 0.1730 0.8463 0.6890  3 Zn 2.52-2.69, 1 Al 2.59, 1 Mg 2.68
Zn 0.3427 0.1537 0.8267  3 Zn 2.52-2.69, 1 Al 2.59, 1 Mg 2.68
Zn 0.3427 0.5160 0.1890  3 Zn 2.52-2.69, 1 Al 2.59, 1 Mg 2.68
Zn 0.3557 0.6057 0.7500  4 Zn 2.69, 2 Al 2.71
Zn 0.6443 0.3943 0.2500  4 Zn 2.69, 2 Al 2.71
Zn 0.6573 0.4840 0.8110  3 Zn 2.52-2.69, 1 Al 2.59, 1 Mg 2.68
Zn 0.6573 0.8463 0.1733  3 Zn 2.52-2.69, 1 Al 2.59, 1 Mg 2.68
Zn 0.8270 0.1537 0.3110  3 Zn 2.52-2.69, 1 Al 2.59, 1 Mg 2.68
Zn 0.8270 0.5160 0.6733  3 Zn 2.52-2.69, 1 Al 2.59, 1 Mg 2.68
Zn 0.8449 0.0949 0.7500  2 Mg 2.75